VASP calculation (PBE-GGA) on a relaxed LiDy2Cu12Ni3 crystal.

Calculated values
E_tot = -4.31 eV per atom
space group = R-3m

```
LiDy2Cu12Ni3
1.0
-3.4227 -4.7473 -2.4075
3.2825 -0.6677 -5.3690
3.7363 -4.7143 1.9652
Ni Cu Li Dy
3 12 1 2
Cartesian
1.8681 -2.3572 0.9826 Ni
1.6412 -0.3339 -2.6845 Ni
-1.7113 -2.3736 -1.2037 Ni
0.0521 -6.3197 -3.4901 Cu
-1.0943 -4.4983 -2.4142 Cu
2.4385 -2.3489 -3.9745 Cu
4.6904 -5.6310 -3.3971 Cu
3.5440 -3.8096 -2.3212 Cu
2.9288 -4.5695 -4.7606 Cu
2.6776 -4.4809 -0.1103 Cu
3.1235 -6.3056 -1.6141 Cu
0.9186 -5.6484 -5.7009 Cu
0.4726 -3.8237 -4.1972 Cu
1.1577 -7.7804 -1.8367 Cu
0.6673 -5.5598 -1.0506 Cu
0.0000 0.0000 0.0000 Li
2.6814 -7.5527 -4.3330 Dy
0.9148 -2.5767 -1.4782 Dy
```